TmMnSnF6 (GGA+U, optimized geometry); energy = -5.865 eV per atom; space-group type = P-31c, No. 163
1.0
5.781 0.000 0.000
-2.890 5.006 0.000
0.000 0.000 11.772
Tm Mn Sn F
2 2 2 12
Direct
0.667 0.333 0.250
0.333 0.667 0.750
0.333 0.667 0.250
0.667 0.333 0.750
0.000 0.000 0.000
0.000 0.000 0.500
0.637 0.637 0.155
0.000 0.363 0.155
0.363 0.000 0.655
0.000 0.637 0.845
0.363 0.363 0.345
0.000 0.637 0.345
0.637 0.000 0.845
0.637 0.000 0.345
0.000 0.363 0.655
0.363 0.000 0.155
0.637 0.637 0.655
0.363 0.363 0.845